[1]
A plane-wave DFT calculation with PBE was carried out for an optimized crystal structure of MgAlCd2.

Results
The value obtained for the density of states at the Fermi level is 0.3028 states/eV per atom. The calculated formation energy is 0.011 eV per atom. The value obtained for the total moment is 0.00 μB/f.u. The calculation puts the theoretical density at 5.55 g/cm³. Its total energy is -7.1 eV/f.u.

a b c (Å): 4.3865 4.3865 4.2914
angles (deg): 90.00 90.00 90.00
Closest atoms and distances in Å follow each position.
Sites, in units of the cell vectors:
Mg  0.0000  0.0000  0.0000  8 Cd 3.07, 4 Al 3.10
Al  0.5000  0.5000  0.0000  8 Cd 3.07, 4 Mg 3.10
Cd  0.0000  0.5000  0.5000  4 Mg 3.07, 4 Al 3.07, 4 Cd 3.10
Cd  0.5000  0.0000  0.5000  4 Mg 3.07, 4 Al 3.07, 4 Cd 3.10


[2]
A plane-wave DFT calculation with PBE was carried out for an optimized crystal structure of MnPPbCl2.

Results
For the raw formation energy, the calculation gives -144 kJ/mol of formula units. The value obtained for the density of states at the Fermi level is 0.3832 states/eV per atom. The value obtained for the total moment is 4.03 μB/f.u. The calculation puts the theoretical density at 5.30 g/cm³. Its total energy is -23.5 eV/f.u. As for the distance to the lowest polymorph of the same formula: 0 meV/atom.

a b c (Å): 4.7721 4.7721 5.0093
angles (deg): 90.00 90.00 90.00
Closest atoms and distances in Å follow each position.
Sites, in units of the cell vectors:
Mn  0.0000  0.0000  0.0000  4 Cl 2.39, 2 P 2.50
P  0.0000  0.0000  0.5000  2 Mn 2.50
Pb  0.5000  0.5000  0.5000  4 P 3.37, 8 Cl 3.46
Cl  0.0000  0.5000  0.0000  2 Mn 2.39
Cl  0.5000  0.0000  0.0000  2 Mn 2.39


[3]
A plane-wave DFT calculation with PBE was carried out for an optimized crystal structure of Er4CuHg2.

Results
The value obtained for the density of states at the Fermi level is 0.8200 states/eV per atom. The calculated formation energy is -0.246 eV per atom. The value obtained for the total moment is 0.00 μB/f.u. The calculation puts the theoretical density at 10.24 g/cm³. Its total energy is -24.7 eV/f.u.

a b c (Å): 8.7693 8.7693 8.7693
angles (deg): 33.59 33.59 33.59
Closest atoms and distances in Å follow each position.
Sites, in units of the cell vectors:
Er  0.1225  0.1225  0.1225  1 Cu 3.04, 4 Hg 3.06-3.08
Er  0.3727  0.3727  0.3727  3 Cu 3.09, 4 Hg 3.13-3.15
Er  0.6273  0.6273  0.6273  3 Cu 3.09, 4 Hg 3.13-3.15
Er  0.8775  0.8775  0.8775  1 Cu 3.04, 4 Hg 3.06-3.08
Cu  0.0000  0.0000  0.0000  8 Er 3.04-3.09
Hg  0.2466  0.2466  0.2466  8 Er 3.06-3.15
Hg  0.7534  0.7534  0.7534  8 Er 3.06-3.15


[4]
A plane-wave DFT calculation with PBE was carried out for an optimized crystal structure of Er5Tl2Ga2.

Results
The value obtained for the density of states at the Fermi level is 0.6605 states/eV per atom. The calculated formation energy is -0.442 eV per atom. The value obtained for the total moment is 0.00 μB/f.u. The calculation puts the theoretical density at 9.75 g/cm³. Its total energy is -37.6 eV/f.u.

a b c (Å): 8.8871 8.8871 7.6364
angles (deg): 90.00 90.00 51.41
Closest atoms and distances in Å follow each position.
Sites, in units of the cell vectors:
Er  0.0000  0.0000  0.0000  4 Ga 3.04-3.08
Er  0.0563  0.6872  0.6778  3 Ga 2.98-3.15, 3 Tl 3.12-3.21
Er  0.1872  0.5563  0.1778  3 Ga 2.98-3.15, 3 Tl 3.12-3.21
Er  0.3128  0.9437  0.6778  3 Ga 2.98-3.15, 3 Tl 3.12-3.21
Er  0.4437  0.8128  0.1778  3 Ga 2.98-3.15, 3 Tl 3.12-3.21
Er  0.5000  0.5000  0.5000  4 Ga 3.04-3.08
Er  0.5563  0.1872  0.8222  3 Ga 2.98-3.15, 3 Tl 3.12-3.21
Er  0.6872  0.0563  0.3222  3 Ga 2.98-3.15, 3 Tl 3.12-3.21
Er  0.8128  0.4437  0.8222  3 Ga 2.98-3.15, 3 Tl 3.12-3.21
Er  0.9437  0.3128  0.3222  3 Ga 2.98-3.15, 3 Tl 3.12-3.21
Tl  0.2208  0.2208  0.0000  6 Er 3.12-3.21
Tl  0.2792  0.2792  0.5000  6 Er 3.12-3.21
Tl  0.7208  0.7208  0.5000  6 Er 3.12-3.21
Tl  0.7792  0.7792  0.0000  6 Er 3.12-3.21
Ga  0.1192  0.8808  0.3792  1 Ga 2.60
Ga  0.3808  0.6192  0.8792  1 Ga 2.60
Ga  0.6192  0.3808  0.1208  1 Ga 2.60
Ga  0.8808  0.1192  0.6208  1 Ga 2.60